The following is a DFT calculation (PBEsol) of crystalline TlCdW2 at its relaxed geometry.

Cell and atoms, written as CIF:
```
data_TlCdW2
_chemical_formula_sum 'Tl1 Cd1 W2'
_space_group_name_H-M_alt 'P 1'
_space_group_IT_number 1
_space_group_name_Hall 'P 1'
_cell_length_a 5.526
_cell_length_b 5.526
_cell_length_c 5.526
_cell_angle_alpha 145.07
_cell_angle_beta 128.72
_cell_angle_gamma 63.56
loop_
_atom_site_label
_atom_site_type_symbol
_atom_site_fract_x
_atom_site_fract_y
_atom_site_fract_z
_atom_site_occupancy
Tl1 Tl 0.000 0.000 0.000 1
Cd1 Cd 0.730 0.230 0.500 1
W1 W 0.265 0.765 0.500 1
W2 W 0.464 0.464 0.000 1
```

Properties
Symmetry: Imm2
Energy above the lowest structure with this stoichiometry, eV per formula unit: 0.00
Mass density, kg/m3: 15256
Electronic total energy, eV per cell: -28.2



The following is a DFT calculation (PBEsol) of crystalline Tl2CdW at its relaxed geometry.

Cell and atoms, written as CIF:
```
data_Tl2CdW
_chemical_formula_sum 'Tl2 Cd1 W1'
_space_group_name_H-M_alt 'P 1'
_space_group_IT_number 1
_space_group_name_Hall 'P 1'
_cell_length_a 2.892
_cell_length_b 2.892
_cell_length_c 10.694
_cell_angle_alpha 90.00
_cell_angle_beta 90.00
_cell_angle_gamma 90.00
loop_
_atom_site_label
_atom_site_type_symbol
_atom_site_fract_x
_atom_site_fract_y
_atom_site_fract_z
_atom_site_occupancy
Tl1 Tl 0.000 0.000 0.000 1
Tl2 Tl 0.500 0.500 0.313 1
Cd1 Cd 0.500 0.500 0.738 1
W1 W 0.000 0.000 0.539 1
```

Properties
Symmetry: P4mm
Energy above the lowest structure with this stoichiometry, eV per formula unit: 0.00
Mass density, kg/m3: 13087
Electronic total energy, eV per cell: -17.7



The following is a DFT calculation (PBEsol) of crystalline TlCdW2 at its relaxed geometry.

Cell and atoms, written as CIF:
```
data_TlCdW2
_chemical_formula_sum 'Tl1 Cd1 W2'
_space_group_name_H-M_alt 'P 1'
_space_group_IT_number 1
_space_group_name_Hall 'P 1'
_cell_length_a 2.835
_cell_length_b 2.835
_cell_length_c 9.602
_cell_angle_alpha 90.00
_cell_angle_beta 90.00
_cell_angle_gamma 111.46
loop_
_atom_site_label
_atom_site_type_symbol
_atom_site_fract_x
_atom_site_fract_y
_atom_site_fract_z
_atom_site_occupancy
Tl1 Tl 0.000 0.000 0.000 1
Cd1 Cd 0.000 0.000 0.500 1
W1 W 0.500 0.500 0.251 1
W2 W 0.500 0.500 0.749 1
```

Properties
Symmetry: Cmmm
Energy above the lowest structure with this stoichiometry, eV per formula unit: 0.29
Mass density, kg/m3: 15826
Electronic total energy, eV per cell: -27.9



The following is a DFT calculation (PBEsol) of crystalline TlCdW2 at its relaxed geometry.

Cell and atoms, written as CIF:
```
data_TlCdW2
_chemical_formula_sum 'Tl1 Cd1 W2'
_space_group_name_H-M_alt 'P 1'
_space_group_IT_number 1
_space_group_name_Hall 'P 1'
_cell_length_a 5.372
_cell_length_b 5.372
_cell_length_c 2.802
_cell_angle_alpha 90.00
_cell_angle_beta 90.00
_cell_angle_gamma 117.24
loop_
_atom_site_label
_atom_site_type_symbol
_atom_site_fract_x
_atom_site_fract_y
_atom_site_fract_z
_atom_site_occupancy
Tl1 Tl 0.000 0.000 0.000 1
Cd1 Cd 0.500 0.500 0.000 1
W1 W 0.000 0.500 0.500 1
W2 W 0.500 0.000 0.500 1
```

Properties
Symmetry: Cmmm
Energy above the lowest structure with this stoichiometry, eV per formula unit: 0.65
Mass density, kg/m3: 15811
Electronic total energy, eV per cell: -27.5



The following is a DFT calculation (PBEsol) of crystalline YTlCd at its relaxed geometry.

Cell and atoms, written as CIF:
```
data_YTlCd
_chemical_formula_sum 'Y1 Tl1 Cd1'
_space_group_name_H-M_alt 'P 1'
_space_group_IT_number 1
_space_group_name_Hall 'P 1'
_cell_length_a 4.900
_cell_length_b 4.900
_cell_length_c 3.485
_cell_angle_alpha 90.00
_cell_angle_beta 90.00
_cell_angle_gamma 120.00
loop_
_atom_site_label
_atom_site_type_symbol
_atom_site_fract_x
_atom_site_fract_y
_atom_site_fract_z
_atom_site_occupancy
Y1 Y 0.000 0.000 0.000 1
Tl1 Tl 0.667 0.333 0.485 1
Cd1 Cd 0.333 0.667 0.509 1
```

Properties
Symmetry: P3m1
Mass density, kg/m3: 9298
Electronic total energy, eV per cell: -11.7



The following is a DFT calculation (PBEsol) of crystalline YTl2Cd at its relaxed geometry.

Cell and atoms, written as CIF:
```
data_YTl2Cd
_chemical_formula_sum 'Y1 Tl2 Cd1'
_space_group_name_H-M_alt 'P 1'
_space_group_IT_number 1
_space_group_name_Hall 'P 1'
_cell_length_a 5.804
_cell_length_b 5.804
_cell_length_c 5.804
_cell_angle_alpha 134.28
_cell_angle_beta 134.28
_cell_angle_gamma 66.65
loop_
_atom_site_label
_atom_site_type_symbol
_atom_site_fract_x
_atom_site_fract_y
_atom_site_fract_z
_atom_site_occupancy
Y1 Y 0.000 0.000 0.000 1
Tl1 Tl 0.250 0.750 0.500 1
Tl2 Tl 0.500 0.500 0.000 1
Cd1 Cd 0.750 0.250 0.500 1
```

Properties
Symmetry: I-4m2
Energy above the lowest structure with this stoichiometry, eV per formula unit: 0.32
Mass density, kg/m3: 10274
Electronic total energy, eV per cell: -14.3



The following is a DFT calculation (PBEsol) of crystalline YTlCd at its relaxed geometry.

Cell and atoms, written as CIF:
```
data_YTlCd
_chemical_formula_sum 'Y1 Tl1 Cd1'
_space_group_name_H-M_alt 'P 1'
_space_group_IT_number 1
_space_group_name_Hall 'P 1'
_cell_length_a 4.965
_cell_length_b 4.965
_cell_length_c 4.965
_cell_angle_alpha 60.00
_cell_angle_beta 60.00
_cell_angle_gamma 60.00
loop_
_atom_site_label
_atom_site_type_symbol
_atom_site_fract_x
_atom_site_fract_y
_atom_site_fract_z
_atom_site_occupancy
Y1 Y 0.000 0.000 0.000 1
Tl1 Tl 0.750 0.750 0.750 1
Cd1 Cd 0.250 0.250 0.250 1
```

Properties
Symmetry: F-43m
Mass density, kg/m3: 7785
Electronic total energy, eV per cell: -10.5



The following is a DFT calculation (PBEsol) of crystalline YTl2Cd at its relaxed geometry.

Cell and atoms, written as CIF:
```
data_YTl2Cd
_chemical_formula_sum 'Y1 Tl2 Cd1'
_space_group_name_H-M_alt 'P 1'
_space_group_IT_number 1
_space_group_name_Hall 'P 1'
_cell_length_a 10.193
_cell_length_b 10.193
_cell_length_c 10.193
_cell_angle_alpha 19.49
_cell_angle_beta 19.49
_cell_angle_gamma 19.49
loop_
_atom_site_label
_atom_site_type_symbol
_atom_site_fract_x
_atom_site_fract_y
_atom_site_fract_z
_atom_site_occupancy
Y1 Y 0.000 0.000 0.000 1
Tl1 Tl 0.247 0.247 0.247 1
Tl2 Tl 0.753 0.753 0.753 1
Cd1 Cd 0.500 0.500 0.500 1
```

Properties
Symmetry: R-3m
Energy above the lowest structure with this stoichiometry, eV per formula unit: 1.13
Mass density, kg/m3: 9827
Electronic total energy, eV per cell: -13.5



The following is a DFT calculation (PBEsol) of crystalline Y2Tl2Cd at its relaxed geometry.

Cell and atoms, written as CIF:
```
data_Y2Tl2Cd
_chemical_formula_sum 'Y4 Tl4 Cd2'
_space_group_name_H-M_alt 'P 1'
_space_group_IT_number 1
_space_group_name_Hall 'P 1'
_cell_length_a 7.598
_cell_length_b 7.598
_cell_length_c 4.469
_cell_angle_alpha 90.00
_cell_angle_beta 90.00
_cell_angle_gamma 90.00
loop_
_atom_site_label
_atom_site_type_symbol
_atom_site_fract_x
_atom_site_fract_y
_atom_site_fract_z
_atom_site_occupancy
Y1 Y 0.168 0.332 0.000 1
Y2 Y 0.332 0.832 0.000 1
Y3 Y 0.668 0.168 0.000 1
Y4 Y 0.832 0.668 0.000 1
Tl1 Tl 0.137 0.637 0.500 1
Tl2 Tl 0.363 0.137 0.500 1
Tl3 Tl 0.637 0.863 0.500 1
Tl4 Tl 0.863 0.363 0.500 1
Cd1 Cd 0.000 0.000 0.500 1
Cd2 Cd 0.500 0.500 0.500 1
```

Properties
Symmetry: P4/mbm
Mass density, kg/m3: 8997
Electronic total energy, eV per cell: -44.0



The following is a DFT calculation (PBEsol) of crystalline YTlCd at its relaxed geometry.

Cell and atoms, written as CIF:
```
data_YTlCd
_chemical_formula_sum 'Y1 Tl1 Cd1'
_space_group_name_H-M_alt 'P 1'
_space_group_IT_number 1
_space_group_name_Hall 'P 1'
_cell_length_a 5.493
_cell_length_b 5.493
_cell_length_c 5.493
_cell_angle_alpha 143.01
_cell_angle_beta 130.16
_cell_angle_gamma 63.66
loop_
_atom_site_label
_atom_site_type_symbol
_atom_site_fract_x
_atom_site_fract_y
_atom_site_fract_z
_atom_site_occupancy
Y1 Y 0.000 0.000 0.000 1
Tl1 Tl 0.334 0.334 0.000 1
Cd1 Cd 0.662 0.662 0.000 1
```

Properties
Symmetry: Imm2
Mass density, kg/m3: 8950
Electronic total energy, eV per cell: -11.2



The following is a DFT calculation (PBEsol) of crystalline YTl2Cd at its relaxed geometry.

Cell and atoms, written as CIF:
```
data_YTl2Cd
_chemical_formula_sum 'Y1 Tl2 Cd1'
_space_group_name_H-M_alt 'P 1'
_space_group_IT_number 1
_space_group_name_Hall 'P 1'
_cell_length_a 4.651
_cell_length_b 4.651
_cell_length_c 4.455
_cell_angle_alpha 90.00
_cell_angle_beta 90.00
_cell_angle_gamma 90.00
loop_
_atom_site_label
_atom_site_type_symbol
_atom_site_fract_x
_atom_site_fract_y
_atom_site_fract_z
_atom_site_occupancy
Y1 Y 0.000 0.000 0.000 1
Tl1 Tl 0.000 0.500 0.500 1
Tl2 Tl 0.500 0.000 0.500 1
Cd1 Cd 0.500 0.500 0.000 1
```

Properties
Symmetry: P4/mmm
Energy above the lowest structure with this stoichiometry, eV per formula unit: 0.00
Mass density, kg/m3: 10513
Electronic total energy, eV per cell: -14.6



The following is a DFT calculation (PBEsol) of crystalline Y2TlCd2 at its relaxed geometry.

Cell and atoms, written as CIF:
```
data_Y2TlCd2
_chemical_formula_sum 'Y4 Tl2 Cd4'
_space_group_name_H-M_alt 'P 1'
_space_group_IT_number 1
_space_group_name_Hall 'P 1'
_cell_length_a 7.550
_cell_length_b 7.550
_cell_length_c 4.414
_cell_angle_alpha 90.00
_cell_angle_beta 90.00
_cell_angle_gamma 90.00
loop_
_atom_site_label
_atom_site_type_symbol
_atom_site_fract_x
_atom_site_fract_y
_atom_site_fract_z
_atom_site_occupancy
Y1 Y 0.170 0.330 0.000 1
Y2 Y 0.330 0.830 0.000 1
Y3 Y 0.670 0.170 0.000 1
Y4 Y 0.830 0.670 0.000 1
Tl1 Tl 0.000 0.000 0.500 1
Tl2 Tl 0.500 0.500 0.500 1
Cd1 Cd 0.129 0.629 0.500 1
Cd2 Cd 0.371 0.129 0.500 1
Cd3 Cd 0.629 0.871 0.500 1
Cd4 Cd 0.871 0.371 0.500 1
```

Properties
Symmetry: P4/mbm
Mass density, kg/m3: 8013
Electronic total energy, eV per cell: -40.5